No. 1
Below is HfNb2HAu after structural relaxation, with properties calculated at the GGA-PBE level.

Values from the calculation:
E, eV/cell: -37.4
Total magnetic moment, Bohr magnetons per cell: 0.0

Geometry as extended XYZ:
```
5
Lattice="4.0322 0.0000 0.0000 0.0000 4.0322 0.0000 0.0000 0.0000 4.7998" Properties=species:S:1:pos:R:3 pbc="T T T"
Hf 0.0000 0.0000 0.0000
Nb 0.0000 2.0161 2.3999
Nb 2.0161 0.0000 2.3999
H 2.0161 2.0161 2.3999
Au 2.0161 2.0161 0.0000
```

---

No. 2
Below is Hf2NbHAu after structural relaxation, with properties calculated at the GGA-PBE level.

Values from the calculation:
E, eV/cell: -38.0
Total magnetic moment, Bohr magnetons per cell: 0.0

Geometry as extended XYZ:
```
5
Lattice="4.5844 0.0000 0.0000 0.0000 4.5844 0.0000 0.0000 0.0000 3.8060" Properties=species:S:1:pos:R:3 pbc="T T T"
Hf 0.0000 2.2922 0.0000
Hf 2.2922 0.0000 0.0000
Nb 0.0000 0.0000 1.9030
H 0.0000 0.0000 0.0000
Au 2.2922 2.2922 1.9030
```

---

No. 3
Below is HfNb2HAu after structural relaxation, with properties calculated at the GGA-PBE level.

Values from the calculation:
E, eV/cell: -37.8
Total magnetic moment, Bohr magnetons per cell: 0.0

Geometry as extended XYZ:
```
5
Lattice="4.0938 0.0000 0.0000 0.0000 4.0938 0.0000 0.0000 0.0000 4.5924" Properties=species:S:1:pos:R:3 pbc="T T T"
Hf 0.0000 0.0000 0.0000
Nb 0.0000 2.0469 2.2962
Nb 2.0469 0.0000 2.2962
H 0.0000 0.0000 2.2962
Au 2.0469 2.0469 0.0000
```

---

No. 4
Below is HfNi2HAu after structural relaxation, with properties calculated at the GGA-PBE level.

Values from the calculation:
E, eV/cell: -20.8
Total magnetic moment, Bohr magnetons per cell: 1.4

Geometry as extended XYZ:
```
5
Lattice="4.6844 0.0000 0.0000 0.0000 4.6844 0.0000 0.0000 0.0000 5.0593" Properties=species:S:1:pos:R:3 pbc="T T T"
Hf 0.0000 0.0000 0.0000
Ni 0.0000 2.3422 2.5297
Ni 2.3422 0.0000 2.5297
H 2.3422 2.3422 0.0000
Au 0.0000 0.0000 2.5297
```

---

No. 5
Below is HfNi2HAu after structural relaxation, with properties calculated at the GGA-PBE level.

Values from the calculation:
E, eV/cell: -29.3
Total magnetic moment, Bohr magnetons per cell: 0.0

Geometry as extended XYZ:
```
5
Lattice="3.9488 0.0000 0.0000 0.0000 3.9488 0.0000 0.0000 0.0000 4.0107" Properties=species:S:1:pos:R:3 pbc="T T T"
Hf 0.0000 0.0000 0.0000
Ni 0.0000 1.9744 2.0053
Ni 1.9744 0.0000 2.0053
H 0.0000 0.0000 2.0053
Au 1.9744 1.9744 0.0000
```

---

No. 6
Below is Hf2HOsAu after structural relaxation, with properties calculated at the GGA-PBE level.

Values from the calculation:
E, eV/cell: -39.5
Total magnetic moment, Bohr magnetons per cell: 0.0

Geometry as extended XYZ:
```
5
Lattice="4.4663 0.0000 0.0000 0.0000 4.4663 0.0000 0.0000 0.0000 3.7802" Properties=species:S:1:pos:R:3 pbc="T T T"
Hf 0.0000 2.2331 0.0000
Hf 2.2331 0.0000 0.0000
H 0.0000 0.0000 0.0000
Os 0.0000 0.0000 1.8901
Au 2.2331 2.2331 1.8901
```

---

No. 7
Below is HfHPd2Au after structural relaxation, with properties calculated at the GGA-PBE level.

Values from the calculation:
E, eV/cell: -28.9
Total magnetic moment, Bohr magnetons per cell: 0.0

Geometry as extended XYZ:
```
5
Lattice="4.0913 0.0000 0.0000 0.0000 4.0913 0.0000 0.0000 0.0000 4.2482" Properties=species:S:1:pos:R:3 pbc="T T T"
Hf 0.0000 0.0000 0.0000
H 0.0000 0.0000 2.1241
Pd 0.0000 2.0456 2.1241
Pd 2.0456 0.0000 2.1241
Au 2.0456 2.0456 0.0000
```

---

No. 8
Below is Hf2ReHAu after structural relaxation, with properties calculated at the GGA-PBE level.

Values from the calculation:
E, eV/cell: -40.5
Total magnetic moment, Bohr magnetons per cell: 0.0

Geometry as extended XYZ:
```
5
Lattice="4.4957 0.0000 0.0000 0.0000 4.4957 0.0000 0.0000 0.0000 3.7589" Properties=species:S:1:pos:R:3 pbc="T T T"
Hf 0.0000 2.2479 0.0000
Hf 2.2479 0.0000 0.0000
Re 0.0000 0.0000 1.8795
H 0.0000 0.0000 0.0000
Au 2.2479 2.2479 1.8795
```